CsSn3Mo after structural relaxation. Source: Alexandria via LeMat-Bulk, functional PBEsol.

a = 5.2779 Å, b = 5.2779 Å, c = 5.2779 Å
α = 90.00°, β = 90.00°, γ = 90.00°
With the nearest neighbours (Å) after each atom.
Space group Pm-3m (No. 221)
Asymmetric unit:
Cs (0.0000, 0.0000, 0.0000) (multiplicity 1)  12 Sn 3.73
Sn (0.0000, 0.5000, 0.5000) (multiplicity 3)  2 Mo 2.64
Mo (0.5000, 0.5000, 0.5000) (multiplicity 1)  6 Sn 2.64

spin magnetization: 0.00 Bohr magnetons per cell
energy of formation: 0.05 eV per atom
final energy: -5.052 eV per atom

=====

Cs3TaMo after structural relaxation. Source: Alexandria via LeMat-Bulk, functional PBEsol.

a = 6.8938 Å, b = 6.8938 Å, c = 6.8938 Å
α = 90.00°, β = 90.00°, γ = 90.00°
With the nearest neighbours (Å) after each atom.
Space group Pm-3m (No. 221)
Asymmetric unit:
Cs (0.0000, 0.0000, 0.5000) (multiplicity 3)  2 Ta 3.45
Ta (0.0000, 0.0000, 0.0000) (multiplicity 1)  6 Cs 3.45
Mo (0.5000, 0.5000, 0.5000) (multiplicity 1)  12 Cs 4.87

spin magnetization: 10.02 Bohr magnetons per cell
energy of formation: 2.41 eV per atom
final energy: -3.020 eV per atom
offset from the most stable computed form: 0.00 eV per formula unit

=====

Cs3Te17Mo15 after structural relaxation. Source: Alexandria via LeMat-Bulk, functional PBEsol.

a = 10.1401 Å, b = 10.1401 Å, c = 21.5018 Å
α = 90.00°, β = 90.00°, γ = 120.00°
With the nearest neighbours (Å) after each atom.
Space group P6_3/m (No. 176)
Asymmetric unit:
Cs (0.0000, 0.0000, 0.1401) (multiplicity 4)  9 Te 3.76-3.95
Cs (0.3333, 0.6667, 0.2500) (multiplicity 2)  11 Te 3.77-3.96
Te (0.0012, 0.6303, 0.6425) (multiplicity 12)  4 Mo 2.76-2.86
Te (0.0363, 0.3291, 0.7500) (multiplicity 6)  4 Mo 2.80-2.85
Te (0.0361, 0.3313, 0.5430) (multiplicity 12)  4 Mo 2.74-2.85
Te (0.3333, 0.6667, 0.0670) (multiplicity 4)  3 Mo 2.71
Mo (0.1745, 0.6466, 0.5376) (multiplicity 12)  4 Mo 2.63-2.76, 5 Te 2.71-2.85
Mo (0.1756, 0.6487, 0.7500) (multiplicity 6)  6 Mo 2.63-2.76, 4 Te 2.80-2.86
Mo (0.1900, 0.5076, 0.6437) (multiplicity 12)  6 Mo 2.67-2.76, 4 Te 2.74-2.85

spin magnetization: 0.00 Bohr magnetons per cell
final energy: -7.249 eV per atom

=====

CsTe7Mo6 after structural relaxation. Source: Alexandria via LeMat-Bulk, functional PBEsol.

a = 10.1908 Å, b = 10.1908 Å, c = 25.2807 Å
α = 90.00°, β = 90.00°, γ = 120.00°
With the nearest neighbours (Å) after each atom.
Space group R-3 (No. 148, hexagonal axes)
Asymmetric unit:
Cs (0.0000, 0.0000, 0.1225) (multiplicity 6)  10 Te 3.75-4.00
Te (0.0000, 0.0000, 0.2754) (multiplicity 6)  3 Mo 2.71
Te (0.0008, 0.3712, 0.7030) (multiplicity 18)  4 Mo 2.75-2.84
Te (0.0041, 0.6338, 0.1194) (multiplicity 18)  4 Mo 2.76-2.85
Mo (0.0139, 0.8565, 0.5443) (multiplicity 18)  6 Mo 2.66-2.80, 4 Te 2.75-2.85
Mo (0.0195, 0.8619, 0.3642) (multiplicity 18)  4 Mo 2.63-2.80, 5 Te 2.71-2.84

spin magnetization: 0.00 Bohr magnetons per cell
final energy: -7.260 eV per atom

=====

CsMo3W after structural relaxation. Source: Alexandria via LeMat-Bulk, functional PBEsol.

a = 4.9183 Å, b = 4.9183 Å, c = 4.9183 Å
α = 90.00°, β = 90.00°, γ = 90.00°
With the nearest neighbours (Å) after each atom.
Space group Pm-3m (No. 221)
Asymmetric unit:
Cs (0.0000, 0.0000, 0.0000) (multiplicity 1)  12 Mo 3.48
Mo (0.0000, 0.5000, 0.5000) (multiplicity 3)  2 W 2.46
W (0.5000, 0.5000, 0.5000) (multiplicity 1)  6 Mo 2.46

spin magnetization: 3.78 Bohr magnetons per cell
energy of formation: 2.18 eV per atom
final energy: -7.835 eV per atom

=====

Cs2Mo2W after structural relaxation. Source: Alexandria via LeMat-Bulk, functional PBEsol.

a = 4.1206 Å, b = 4.1206 Å, c = 15.9599 Å
α = 90.00°, β = 90.00°, γ = 90.00°
With the nearest neighbours (Å) after each atom.
Space group I4/mmm (No. 139)
Asymmetric unit:
Cs (0.0000, 0.5000, 0.2500) (multiplicity 4)  4 Cs 2.91
Mo (0.0000, 0.0000, 0.0647) (multiplicity 4)  1 Mo 2.06
W (0.0000, 0.0000, 0.5000) (multiplicity 2)  8 Mo 3.09

spin magnetization: 0.08 Bohr magnetons per cell
energy of formation: 2.20 eV per atom
final energy: -5.649 eV per atom

=====

CsNa3N after structural relaxation. Source: Alexandria via LeMat-Bulk, functional PBEsol.

a = 7.5687 Å, b = 7.5687 Å, c = 7.5687 Å
α = 90.00°, β = 90.00°, γ = 90.00°
With the nearest neighbours (Å) after each atom.
Space group Pm-3m (No. 221)
Asymmetric unit:
Cs (0.0000, 0.0000, 0.0000) (multiplicity 1)  6 Na 3.78
Na (0.0000, 0.0000, 0.5000) (multiplicity 3)  2 Cs 3.78
N (0.5000, 0.5000, 0.5000) (multiplicity 1)  12 Na 5.35

spin magnetization: 1.28 Bohr magnetons per cell
final energy: -1.220 eV per atom

=====

Cs5NaW4N10 after structural relaxation. Source: Alexandria via LeMat-Bulk, functional PBEsol.

a = 13.9784 Å, b = 13.9784 Å, c = 9.0314 Å
α = 90.00°, β = 90.00°, γ = 90.00°
With the nearest neighbours (Å) after each atom.
Space group I4_1 (No. 80)
Asymmetric unit:
Cs (0.0000, 0.0000, 0.0000) (multiplicity 4)  12 N 3.45-3.82, 4 W 3.84-3.85
Cs (0.1093, 0.8316, 0.6959) (multiplicity 8)  3 N 3.13-3.47, 1 Na 3.27
Cs (0.1097, 0.3372, 0.5834) (multiplicity 8)  1 Na 3.17, 5 N 3.22-3.44
Na (0.0000, 0.0000, 0.5093) (multiplicity 4)  4 N 2.26-2.29
W (0.1045, 0.2929, 0.0227) (multiplicity 8)  4 N 1.77-1.90
W (0.1058, 0.7981, 0.2395) (multiplicity 8)  4 N 1.78-1.90
N (0.0111, 0.2350, 0.1465) (multiplicity 8)  2 W 1.90
N (0.0548, 0.3888, 0.9198) (multiplicity 8)  1 W 1.77
N (0.0826, 0.8931, 0.3651) (multiplicity 8)  1 W 1.78
N (0.1558, 0.2044, 0.8894) (multiplicity 8)  2 W 1.87-1.89
N (0.1585, 0.6940, 0.3438) (multiplicity 8)  2 W 1.88-1.90

spin magnetization: 0.00 Bohr magnetons per cell
final energy: -7.904 eV per atom

=====

CsNbTeN2 after structural relaxation. Source: Alexandria via LeMat-Bulk, functional PBEsol.

a = 4.3299 Å, b = 4.3299 Å, c = 5.5599 Å
α = 90.00°, β = 90.00°, γ = 90.00°
With the nearest neighbours (Å) after each atom.
Space group P4/mmm (No. 123)
Asymmetric unit:
Cs (0.0000, 0.0000, 0.0000) (multiplicity 1)  4 Te 3.06
Nb (0.5000, 0.5000, 0.5000) (multiplicity 1)  4 N 2.16
Te (0.5000, 0.5000, 0.0000) (multiplicity 1)  2 Nb 2.78, 4 Cs 3.06
N (0.0000, 0.5000, 0.5000) (multiplicity 2)  2 Nb 2.16

spin magnetization: 1.15 Bohr magnetons per cell
final energy: -6.092 eV per atom

=====

CsTiNb2N after structural relaxation. Source: Alexandria via LeMat-Bulk, functional PBEsol.

a = 5.1209 Å, b = 5.1209 Å, c = 4.1555 Å
α = 90.00°, β = 90.00°, γ = 90.00°
With the nearest neighbours (Å) after each atom.
Space group P4/mmm (No. 123)
Asymmetric unit:
Cs (0.0000, 0.0000, 0.0000) (multiplicity 1)  2 N 2.08
Ti (0.5000, 0.5000, 0.5000) (multiplicity 1)  8 Nb 3.30, 4 N 3.62
Nb (0.0000, 0.5000, 0.0000) (multiplicity 2)  2 Cs 2.56
N (0.0000, 0.0000, 0.5000) (multiplicity 1)  2 Cs 2.08

spin magnetization: 0.00 Bohr magnetons per cell
final energy: -5.000 eV per atom

=====

CsNi2SbN after structural relaxation. Source: Alexandria via LeMat-Bulk, functional PBEsol.

a = 4.5914 Å, b = 4.5914 Å, c = 6.8597 Å
α = 90.00°, β = 90.00°, γ = 90.00°
With the nearest neighbours (Å) after each atom.
Space group P4/mmm (No. 123)
Asymmetric unit:
Cs (0.0000, 0.0000, 0.0000) (multiplicity 1)  4 Ni 2.30
Ni (0.0000, 0.5000, 0.0000) (multiplicity 2)  2 Cs 2.30
Sb (0.0000, 0.0000, 0.5000) (multiplicity 1)  4 N 3.25, 2 Cs 3.43
N (0.5000, 0.5000, 0.5000) (multiplicity 1)  4 Sb 3.25

spin magnetization: 0.58 Bohr magnetons per cell
final energy: -2.417 eV per atom

=====

Cs2NO after structural relaxation. Source: Alexandria via LeMat-Bulk, functional PBEsol.

a = 7.2568 Å, b = 7.2568 Å, c = 7.2568 Å
α = 90.00°, β = 90.00°, γ = 90.00°
With the nearest neighbours (Å) after each atom.
Space group Fm-3m (No. 225)
Asymmetric unit:
Cs (0.2500, 0.2500, 0.2500) (multiplicity 8)  4 O 3.14, 4 N 3.14
N (0.0000, 0.0000, 0.0000) (multiplicity 4)  8 Cs 3.14
O (0.0000, 0.0000, 0.5000) (multiplicity 4)  8 Cs 3.14

spin magnetization: 12.00 Bohr magnetons per cell
final energy: -3.566 eV per atom